A plane-wave DFT calculation with meta-GGA SCAN was carried out for a PBEsol-optimized structure of HgTeSe2.

Cell lengths 7.5872, 3.9814, 7.3828 Å; angles 90.00, 109.18, 90.00 degrees
With the nearest neighbours (Å) after each atom.
Positions (direct):
Hg 0.0000 0.0000 0.0000  2 Se 2.56
Hg 0.5000 0.5000 0.0000  2 Se 2.56
Te 0.0000 0.5000 0.5000  4 Se 2.81
Te 0.5000 0.0000 0.5000  4 Se 2.81
Se 0.1826 0.0000 0.7633  1 Hg 2.56, 2 Te 2.81
Se 0.3174 0.5000 0.2367  1 Hg 2.56, 2 Te 2.81
Se 0.6826 0.5000 0.7633  1 Hg 2.56, 2 Te 2.81
Se 0.8174 0.0000 0.2367  1 Hg 2.56, 2 Te 2.81

Computed properties:
- ΔE to the lowest computed polymorph (meV/atom) = 0
- total DFT energy (no corrections) (Ry/atom) = -2.6824
- formation energy without anion corrections (eV per formula unit) = -0.4